First-principles (PBE) data for a geometry-optimized Ba2CuReO6 structure, as listed in Alexandria.

a b c (Å): 10.214 10.214 10.214
angles (deg): 33.62 33.62 33.62
Fractional coordinates of all 20 atoms:
1 Ba 0.127 0.127 0.127
2 Ba 0.277 0.277 0.277
3 Ba 0.723 0.723 0.723
4 Ba 0.873 0.873 0.873
5 Cu 0.390 0.390 0.390
6 Cu 0.610 0.610 0.610
7 Re 0.000 0.000 0.000
8 Re 0.500 0.500 0.500
9 O 0.155 0.616 0.616
10 O 0.190 0.190 0.737
11 O 0.190 0.737 0.190
12 O 0.263 0.810 0.810
13 O 0.384 0.384 0.845
14 O 0.384 0.845 0.384
15 O 0.616 0.155 0.616
16 O 0.616 0.616 0.155
17 O 0.737 0.190 0.190
18 O 0.810 0.263 0.810
19 O 0.810 0.810 0.263
20 O 0.845 0.384 0.384

## Properties
Calculated density   7.1 g/cm3
Formation energy (no corrections)   -1.995 eV per atom
Total moment   0.00 μB/f.u.

***

First-principles (PBE) data for a geometry-optimized BaCuReO5 structure, as listed in Alexandria.

a b c (Å): 3.803 3.803 8.019
angles (deg): 90.00 90.00 90.00
Fractional coordinates of all 8 atoms:
1 Ba 0.000 0.000 0.000
2 Cu 0.500 0.500 0.267
3 Re 0.500 0.500 0.633
4 O 0.000 0.500 0.225
5 O 0.000 0.500 0.618
6 O 0.500 0.000 0.225
7 O 0.500 0.000 0.618
8 O 0.500 0.500 0.865

## Properties
Calculated density   6.7 g/cm3
Formation energy (no corrections)   -1.374 eV per atom
Total moment   1.05 μB/f.u.

***

First-principles (PBE) data for a geometry-optimized Ba3Cu2RhO8 structure, as listed in Alexandria.

a b c (Å): 5.766 5.766 7.550
angles (deg): 90.00 90.00 120.00
Fractional coordinates of all 14 atoms:
1 Ba 0.000 0.000 0.000
2 Ba 0.333 0.667 0.650
3 Ba 0.667 0.333 0.350
4 Cu 0.333 0.667 0.219
5 Cu 0.667 0.333 0.781
6 Rh 0.000 0.000 0.500
7 O 0.160 0.321 0.338
8 O 0.160 0.840 0.338
9 O 0.321 0.160 0.662
10 O 0.333 0.667 0.983
11 O 0.667 0.333 0.017
12 O 0.679 0.840 0.338
13 O 0.840 0.160 0.662
14 O 0.840 0.679 0.662

## Properties
Calculated density   5.9 g/cm3
Formation energy (no corrections)   -1.416 eV per atom
Total moment   5.10 μB/f.u.

***

First-principles (PBE) data for a geometry-optimized Ba4CuRh3O12 structure, as listed in Alexandria.

a b c (Å): 7.072 7.072 7.072
angles (deg): 109.47 109.47 109.47
Fractional coordinates of all 20 atoms:
1 Ba 0.000 0.000 0.500
2 Ba 0.000 0.500 0.000
3 Ba 0.500 0.000 0.000
4 Ba 0.500 0.500 0.500
5 Cu 0.000 0.000 0.000
6 Rh 0.000 0.500 0.500
7 Rh 0.500 0.000 0.500
8 Rh 0.500 0.500 0.000
9 O 0.000 0.257 0.257
10 O 0.000 0.743 0.743
11 O 0.250 0.500 0.750
12 O 0.250 0.750 0.500
13 O 0.257 0.000 0.257
14 O 0.257 0.257 0.000
15 O 0.500 0.250 0.750
16 O 0.500 0.750 0.250
17 O 0.743 0.000 0.743
18 O 0.743 0.743 0.000
19 O 0.750 0.250 0.500
20 O 0.750 0.500 0.250

## Properties
Calculated density   6.8 g/cm3
Formation energy (no corrections)   -1.473 eV per atom
Total moment   7.17 μB/f.u.

***

First-principles (PBE) data for a geometry-optimized Ba2Cu2RhO6 structure, as listed in Alexandria.

a b c (Å): 6.361 6.361 6.361
angles (deg): 55.27 55.27 55.27
Fractional coordinates of all 11 atoms:
1 Ba 0.221 0.221 0.221
2 Ba 0.779 0.779 0.779
3 Cu 0.412 0.412 0.412
4 Cu 0.588 0.588 0.588
5 Rh 0.000 0.000 0.000
6 O 0.225 0.768 0.768
7 O 0.232 0.232 0.775
8 O 0.232 0.775 0.232
9 O 0.768 0.225 0.768
10 O 0.768 0.768 0.225
11 O 0.775 0.232 0.232

## Properties
Calculated density   6.2 g/cm3
Formation energy (no corrections)   -1.366 eV per atom
Total moment   1.71 μB/f.u.

***

First-principles (PBE) data for a geometry-optimized Ba2CuRhO5 structure, as listed in Alexandria.

a b c (Å): 8.056 8.056 10.279
angles (deg): 90.00 90.00 155.48
Fractional coordinates of all 18 atoms:
1 Ba 0.125 0.875 0.500
2 Ba 0.126 0.874 0.899
3 Ba 0.874 0.126 0.399
4 Ba 0.875 0.125 0.000
5 Cu 0.448 0.552 0.664
6 Cu 0.552 0.448 0.164
7 Rh 0.213 0.787 0.203
8 Rh 0.787 0.213 0.703
9 O 0.083 0.917 0.221
10 O 0.290 0.710 0.825
11 O 0.292 0.708 0.580
12 O 0.339 0.661 0.200
13 O 0.493 0.507 0.496
14 O 0.507 0.493 0.996
15 O 0.661 0.339 0.700
16 O 0.708 0.292 0.080
17 O 0.710 0.290 0.325
18 O 0.917 0.083 0.721

## Properties
Calculated density   6.3 g/cm3
Formation energy (no corrections)   -1.521 eV per atom
Total moment   0.49 μB/f.u.